Crystalline SrFe3O6 at its relaxed geometry, computed with PBE with a Hubbard U.

Unit cell a=5.3396 b=5.3396 c=14.0464 alpha=90.00 beta=90.00 gamma=120.00
Space group R3 (No. 146, hexagonal axes)
Symmetry-distinct sites (fractional):
Sr 0.0000 0.0000 0.0000 (multiplicity 3)
Fe 0.0000 0.0000 0.2544 (multiplicity 3)
Fe 0.0000 0.0000 0.4614 (multiplicity 3)
Fe 0.0000 0.0000 0.7651 (multiplicity 3)
O 0.0011 0.3617 0.5150 (multiplicity 9)
O 0.0177 0.5598 0.0236 (multiplicity 9)

Output
**Total energy**: -64.415 eV per formula unit
**M_tot**: 42.0 μB/cell